[1]
A plane-wave DFT calculation with PBE was carried out for a relaxed Nd6InRh crystal.

## Properties
The value obtained for the formation energy is -1.11 eV/f.u. The raw total energy comes out at -4.98 eV per atom.

a b c (Å): 8.1241 10.3928 6.6205
angles (deg): 90.00 105.21 90.00
Closest atoms and distances in Å follow each position.
Space group C2/m (No. 12)
Asymmetric unit:
1 Nd 0.1204 0.1908 0.2897 x8  1 Rh 2.75
2 Nd 0.2152 0.5000 0.1447 x4  1 Rh 2.73
3 In 0.0000 0.5000 0.5000 x2  6 Nd 3.28-3.62
4 Rh 0.0000 0.0000 0.0000 x2  6 Nd 2.73-2.75

---

[2]
A plane-wave DFT calculation with PBE was carried out for a relaxed Al2Ag2Au7 crystal.

## Properties
The value obtained for the formation energy is -1.61 eV/f.u. The energy above the most stable polymorph in this dataset is 23 meV per atom. The raw total energy comes out at -3.43 eV per atom.

a b c (Å): 9.6587 9.1291 5.1254
angles (deg): 90.00 117.23 90.00
Closest atoms and distances in Å follow each position.
Space group C2/m (No. 12)
Asymmetric unit:
1 Al 0.2308 0.0000 0.4835 x4  7 Au 2.62-2.78
2 Ag 0.0000 0.3315 0.5000 x4  6 Au 2.86-2.99, 2 Al 2.99, 1 Ag 3.08
3 Au 0.0000 0.5000 0.0000 x2  2 Al 2.73, 4 Au 2.79, 4 Ag 2.99
4 Au 0.0817 0.0000 0.8065 x4  2 Al 2.65-2.69, 3 Au 2.80-2.82
5 Au 0.1778 0.2443 0.1862 x8  2 Al 2.62-2.78, 4 Au 2.79-2.86, 1 Ag 2.86

---

[3]
A plane-wave DFT calculation with PBE was carried out for a relaxed GaAgSn2 crystal.

## Properties
The value obtained for the formation energy is 0.58 eV/f.u. The raw total energy comes out at -3.33 eV per atom.

a b c (Å): 3.2424 3.2424 31.7939
angles (deg): 90.00 90.00 120.00
Closest atoms and distances in Å follow each position.
Space group R-3m (No. 166, hexagonal axes)
Asymmetric unit:
1 Ga 0.0000 0.0000 0.0000 x3  6 Sn 3.10, 6 Ga 3.24
2 Ag 0.0000 0.0000 0.5000 x3  2 Sn 2.83
3 Sn 0.0000 0.0000 0.4110 x6  1 Ag 2.83, 3 Ga 3.10

---

[4]
A plane-wave DFT calculation with PBE was carried out for a relaxed PmPaTcO6 crystal.

## Properties
The raw total energy comes out at -8.82 eV per atom. The value obtained for the formation energy from raw total energies is -2.779 eV per atom.

a b c (Å): 5.5441 5.5441 10.0266
angles (deg): 90.00 90.00 120.00
Closest atoms and distances in Å follow each position.
Space group P-31c (No. 163)
Asymmetric unit:
1 Pm 0.0000 0.0000 0.0000 x2  6 O 2.40
2 Pa 0.3333 0.6667 0.2500 x2  6 O 2.19
3 Tc 0.3333 0.6667 0.7500 x2  6 O 2.05
4 O 0.0202 0.3616 0.6387 x12  1 Tc 2.05, 1 Pa 2.19

---

[5]
A plane-wave DFT calculation with PBE was carried out for a relaxed TcH3Ru crystal.

## Properties
The energy above the most stable polymorph in this dataset is 0 meV per atom. The raw total energy comes out at -5.51 eV per atom.

a b c (Å): 3.3800 3.3800 3.3800
angles (deg): 90.00 90.00 90.00
Closest atoms and distances in Å follow each position.
Space group Pm-3m (No. 221)
Asymmetric unit:
1 Tc 0.0000 0.0000 0.0000 x1  12 H 2.39
2 H 0.0000 0.5000 0.5000 x3  2 Ru 1.69
3 Ru 0.5000 0.5000 0.5000 x1  6 H 1.69

---

[6]
A plane-wave DFT calculation with PBE was carried out for a relaxed AsSeCl2 crystal.

## Properties
The energy above the most stable polymorph in this dataset is 855 meV per atom. The raw total energy comes out at -2.43 eV per atom. The value obtained for the formation energy from raw total energies is 0.531 eV per atom.

a b c (Å): 4.3196 4.3196 4.3305
angles (deg): 90.00 90.00 90.00
Closest atoms and distances in Å follow each position.
Space group P4/mmm (No. 123)
Asymmetric unit:
1 As 0.0000 0.0000 0.0000 x1  4 Se 3.05, 8 Cl 3.06
2 Se 0.5000 0.5000 0.0000 x1  4 As 3.05, 8 Cl 3.06
3 Cl 0.0000 0.5000 0.5000 x2  4 Cl 3.05, 4 Se 3.06, 4 As 3.06

---

[7]
A plane-wave DFT calculation with PBE was carried out for a relaxed LiGaSe2 crystal.

## Properties
The raw total energy comes out at -3.79 eV per atom. The value obtained for the formation energy from raw total energies is -0.813 eV per atom.

a b c (Å): 4.0525 4.0525 20.3292
angles (deg): 90.00 90.00 120.00
Closest atoms and distances in Å follow each position.
Space group R3m (No. 160, hexagonal axes)
Asymmetric unit:
1 Li 0.0000 0.0000 0.0000 x3  4 Se 2.43-2.72
2 Ga 0.0000 0.0000 0.5205 x3  4 Se 2.31-2.58
3 Se 0.0000 0.0000 0.1338 x3  3 Ga 2.58, 1 Li 2.72
4 Se 0.0000 0.0000 0.6339 x3  1 Ga 2.31, 3 Li 2.43

---

[8]
A plane-wave DFT calculation with PBE was carried out for a relaxed LiCeYOs crystal.

## Properties
The value obtained for the formation energy is -0.52 eV/f.u. The raw total energy comes out at -6.52 eV per atom.

a b c (Å): 6.9897 6.9897 6.9897
angles (deg): 90.00 90.00 90.00
Closest atoms and distances in Å follow each position.
Space group F-43m (No. 216)
Asymmetric unit:
1 Li 0.0000 0.0000 0.0000 x4  4 Ce 3.03, 4 Y 3.03
2 Ce 0.2500 0.2500 0.2500 x4  4 Os 3.03, 4 Li 3.03
3 Y 0.2500 0.2500 0.7500 x4  4 Li 3.03, 4 Os 3.03
4 Os 0.0000 0.0000 0.5000 x4  4 Y 3.03, 4 Ce 3.03

---

[9]
A plane-wave DFT calculation with PBE was carried out for a relaxed Pr6CdHg2 crystal.

## Properties
The value obtained for the formation energy is -2.23 eV/f.u. The energy above the most stable polymorph in this dataset is 0 meV per atom. The raw total energy comes out at -3.60 eV per atom.

a b c (Å): 5.5847 5.5847 10.4350
angles (deg): 90.00 90.00 120.00
Closest atoms and distances in Å follow each position.
Space group P-3m1 (No. 164)
Asymmetric unit:
1 Pr 0.0000 0.0000 0.1763 x2  1 Cd 3.38, 3 Hg 3.47, 7 Pr 3.66-3.77
2 Pr 0.3333 0.6667 0.0109 x2  1 Hg 3.23, 3 Pr 3.23
3 Pr 0.3333 0.6667 0.3845 x2  4 Hg 3.31-3.35, 3 Cd 3.44
4 Cd 0.0000 0.0000 0.5000 x1  8 Pr 3.38-3.44
5 Hg 0.3333 0.6667 0.7019 x2  8 Pr 3.23-3.47

---

[10]
A plane-wave DFT calculation with PBE was carried out for a relaxed CsKIn4 crystal.

## Properties
The value obtained for the formation energy is -0.47 eV/f.u. The energy above the most stable polymorph in this dataset is 0 meV per atom. The raw total energy comes out at -2.23 eV per atom.

a b c (Å): 9.3428 9.3428 9.3428
angles (deg): 90.00 90.00 90.00
Closest atoms and distances in Å follow each position.
Space group F-43m (No. 216)
Asymmetric unit:
1 Cs 0.0000 0.0000 0.0000 x4  12 In 3.87, 4 K 4.05
2 K 0.2500 0.2500 0.2500 x4  12 In 3.87, 4 Cs 4.05
3 In 0.1248 0.1248 0.6248 x16  6 In 3.30-3.31

---

[11]
A plane-wave DFT calculation with PBE was carried out for a relaxed Ni2Te2Se crystal.

## Properties
The raw total energy comes out at -3.92 eV per atom. The value obtained for the formation energy from raw total energies is 0.345 eV per atom.

a b c (Å): 4.5591 4.5591 9.9730
angles (deg): 90.00 90.00 90.00
Closest atoms and distances in Å follow each position.
Space group I4/mmm (No. 139)
Asymmetric unit:
1 Ni 0.0000 0.0000 0.1278 x4  1 Ni 2.55, 4 Te 2.59
2 Te 0.0000 0.5000 0.2500 x4  4 Ni 2.59
3 Se 0.0000 0.0000 0.5000 x2  8 Te 3.38, 10 Ni 3.47-3.71

---

[12]
A plane-wave DFT calculation with PBE was carried out for a relaxed Li3HfTa2N6 crystal.

## Properties
The raw total energy comes out at -8.48 eV per atom. The value obtained for the formation energy from raw total energies is -1.033 eV per atom.

a b c (Å): 5.4469 9.4342 5.3735
angles (deg): 90.00 109.63 90.00
Closest atoms and distances in Å follow each position.
Space group C2/m (No. 12)
Asymmetric unit:
1 Li 0.0000 0.0000 0.0000 x2  6 N 2.26-2.32
2 Li 0.0000 0.3305 0.0000 x4  6 N 2.25-2.34
3 Hf 0.0000 0.5000 0.5000 x2  6 N 2.17
4 Ta 0.0000 0.1666 0.5000 x4  6 N 2.11
5 N 0.2306 0.0000 0.7206 x4  2 Ta 2.11, 1 Hf 2.17, 3 Li 2.26-2.34
6 N 0.2442 0.3288 0.7201 x8  2 Ta 2.11, 1 Hf 2.17, 3 Li 2.25-2.32